(1)
DFT (PBE) results for Cu13Si2 after structural relaxation.

Output
The raw formation energy is -30.8 meV per atom. The calculation puts the calculated density at 8.14 g cm⁻³.

Unit cell a=4.489 b=6.277 c=6.813 alpha=70.68 beta=83.56 gamma=88.39
Positions (direct):
Cu  0.000  0.000  0.000
Cu  0.135  0.257  0.211
Cu  0.201  0.400  0.807
Cu  0.264  0.528  0.400
Cu  0.334  0.664  0.997
Cu  0.385  0.805  0.594
Cu  0.467  0.930  0.198
Cu  0.533  0.070  0.802
Cu  0.615  0.195  0.406
Cu  0.666  0.336  0.003
Cu  0.736  0.472  0.600
Cu  0.799  0.600  0.193
Cu  0.865  0.743  0.789
Si  0.076  0.143  0.609
Si  0.924  0.857  0.391

=====

(2)
DFT (PBE) results for CaY2Ho after structural relaxation.

Output
The calculated formation energy is 0.068 eV per atom. The calculation puts the calculated density at 4.66 g cm⁻³.

Unit cell a=3.621 b=3.621 c=10.396 alpha=90.00 beta=90.00 gamma=90.00
Positions (direct):
Ca  0.000  0.000  0.000
Y  0.500  0.500  0.270
Y  0.500  0.500  0.730
Ho  0.000  0.000  0.500